# 1
SbPbCl (meta-GGA SCAN, single point on PBEsol structure); total magnetization = 0.0 Bohr magnetons per cell; DFT total energy = -40.496 eV per atom; formation energy from raw total energies = -0.469 eV/f.u.
1.0
5.0291 0.0000 0.0000
2.5145 4.3553 0.0000
2.5145 1.4518 4.1062
Pb Sb Cl
1 1 1
direct
0.2500 0.2500 0.2500
0.0000 0.0000 0.0000
0.5000 0.5000 0.5000

# 2
SbPb3Cl (meta-GGA SCAN, single point on PBEsol structure); total magnetization = 0.0 Bohr magnetons per cell; DFT total energy = -54.185 eV per atom; formation energy from raw total energies = 1.656 eV/f.u.
1.0
-5.4042 -0.6675 2.1913
2.2586 -0.6162 5.3825
-0.3821 5.7989 0.8242
Pb Sb Cl
3 1 1
direct
0.0000 0.5000 0.0000
0.0000 0.0000 0.5000
0.5000 0.0000 0.0000
0.0000 0.0000 0.0000
0.5000 0.5000 0.5000

# 3
Sb2TePbCl (meta-GGA SCAN, single point on PBEsol structure); total magnetization = 0.0 Bohr magnetons per cell; DFT total energy = -38.478 eV per atom; formation energy from raw total energies = 3.140 eV/f.u.
1.0
5.2983 0.0000 0.0000
0.0000 5.2983 0.0000
0.0000 0.0000 5.3465
Pb Sb Te Cl
1 2 1 1
direct
0.5000 0.5000 0.5000
0.0000 0.5000 0.0000
0.5000 0.0000 0.0000
0.0000 0.0000 0.5000
0.0000 0.0000 0.0000

# 4
Sc2PbCl (meta-GGA SCAN, single point on PBEsol structure); offset from the most stable computed form = 104 meV per atom; total magnetization = 1.0 Bohr magnetons per cell; DFT total energy = -28.839 eV per atom; formation energy from raw total energies = -3.122 eV/f.u.
1.0
4.9619 0.0000 0.0000
2.4810 4.2972 0.0000
2.4810 1.4324 4.0514
Pb Sc Cl
1 2 1
direct
0.0000 0.0000 0.0000
0.2500 0.2500 0.2500
0.7500 0.7500 0.7500
0.5000 0.5000 0.5000

# 5
Sc2PbCl (meta-GGA SCAN, single point on PBEsol structure); offset from the most stable computed form = 62 meV per atom; total magnetization = 1.6 Bohr magnetons per cell; DFT total energy = -28.881 eV per atom; formation energy from raw total energies = -3.291 eV/f.u.
1.0
3.3364 0.0000 0.0000
1.6682 2.8894 0.0000
1.6682 0.9631 10.3070
Pb Sc Cl
1 2 1
direct
0.2567 0.2567 0.2298
0.0083 0.0083 0.9750
0.7571 0.7571 0.7288
0.4779 0.4779 0.5664

# 6
ScPbCl2 (meta-GGA SCAN, single point on PBEsol structure); offset from the most stable computed form = 0 meV per atom; total magnetization = 0.0 Bohr magnetons per cell; DFT total energy = -27.913 eV per atom; formation energy from raw total energies = -5.677 eV/f.u.
1.0
3.3856 0.0000 0.0000
1.6928 2.9320 0.0000
1.6928 0.9773 10.1502
Pb Sc Cl
1 1 2
direct
0.5000 0.5000 0.5000
0.0000 0.0000 0.0000
0.2808 0.2808 0.1577
0.7192 0.7192 0.8423

# 7
ScPbCl (meta-GGA SCAN, single point on PBEsol structure); total magnetization = 0.0 Bohr magnetons per cell; DFT total energy = -32.803 eV per atom; formation energy from raw total energies = -0.413 eV/f.u.
1.0
-0.4764 -1.6226 4.4212
1.1277 -4.4850 1.0095
3.8403 -0.9471 2.6002
Pb Sc Cl
1 1 1
direct
0.0000 0.0000 0.0000
0.5000 0.5000 0.5000
0.7500 0.7500 0.7500

# 8
ScPbCl2 (meta-GGA SCAN, single point on PBEsol structure); offset from the most stable computed form = 104 meV per atom; total magnetization = 0.0 Bohr magnetons per cell; DFT total energy = -27.808 eV per atom; formation energy from raw total energies = -5.259 eV/f.u.
1.0
-3.1109 0.3112 0.3042
-0.3337 -3.1153 -0.2255
0.9114 -0.8341 10.1748
Pb Sc Cl
1 1 2
direct
0.5000 0.5000 0.0000
0.5000 0.5000 0.5000
0.0000 0.0000 0.6463
0.0000 0.0000 0.3537

# 9
Sc2PbCl (meta-GGA SCAN, single point on PBEsol structure); offset from the most stable computed form = 0 meV per atom; total magnetization = 0.8 Bohr magnetons per cell; DFT total energy = -28.943 eV per atom; formation energy from raw total energies = -3.539 eV/f.u.
1.0
3.4104 0.0000 -0.0004
-0.0001 4.5348 0.0031
-1.7058 -0.0032 5.7418
Pb Sc Cl
1 2 1
direct
0.7263 0.1252 0.4530
0.9977 0.1247 0.9952
0.2827 0.6252 0.5653
0.4932 0.6250 0.9864

# 10
ScPb2Cl (meta-GGA SCAN, single point on PBEsol structure); total magnetization = 0.4 Bohr magnetons per cell; DFT total energy = -43.959 eV per atom; formation energy from raw total energies = -2.060 eV/f.u.
1.0
3.6012 0.0392 0.0000
-0.1674 5.2033 0.0000
0.0000 0.0000 5.5598
Pb Sc Cl
2 1 1
direct
0.2218 0.2610 0.0000
0.7782 0.7390 0.0000
0.5000 0.5000 0.5000
0.5000 0.0000 0.5000

# 11
PbSeCl2 (meta-GGA SCAN, single point on PBEsol structure); offset from the most stable computed form = 8 meV per atom; total magnetization = 0.0 Bohr magnetons per cell; DFT total energy = -28.276 eV per atom; formation energy from raw total energies = -1.287 eV/f.u.
1.0
-2.2486 3.4080 0.2044
-0.3859 -0.0105 -4.0698
-3.2192 -4.7181 2.3706
Pb Se Cl
1 1 2
direct
0.5000 0.5000 0.0000
0.2500 0.7500 0.5000
0.0000 0.0000 0.0000
0.7500 0.2500 0.5000

# 12
PbSeCl2 (meta-GGA SCAN, single point on PBEsol structure); offset from the most stable computed form = 32 meV per atom; total magnetization = 0.7 Bohr magnetons per cell; DFT total energy = -28.251 eV per atom; formation energy from raw total energies = -1.188 eV/f.u.
1.0
3.3620 0.0000 0.0000
0.0000 3.3620 0.0000
0.0000 0.0000 9.8576
Pb Se Cl
1 1 2
direct
0.5000 0.5000 0.0000
0.5000 0.5000 0.5000
0.0000 0.0000 0.8250
0.0000 0.0000 0.1750

Which formula does entry 2 have?
SbPb3Cl